A relaxed AcTiMn2S6 crystal. Source: Alexandria via LeMat-Bulk, functional PBE-GGA.

Output
space group = R3
DFT total energy = -0.244 Ha/atom
magnetic moment = 9.069 μB/f.u.

a b c (Å): 6.8768 6.8768 6.8768
angles (deg): 55.88 55.88 55.88
Last column: nearest neighbours and their distance in Å.
Fractional positions:
Ac 0.0000 0.0000 0.0000  6 S 2.93-3.15
Ti 0.4101 0.4101 0.4101  6 S 2.46-2.48
Mn 0.2180 0.2180 0.2180  6 S 2.48-2.49
Mn 0.7340 0.7340 0.7340  6 S 2.45-2.48
S 0.1313 0.4607 0.8205  1 Ti 2.46, 2 Mn 2.48-2.49
S 0.4281 0.9899 0.5238  2 Mn 2.45-2.48, 1 Ti 2.48
S 0.4607 0.8205 0.1313  1 Ti 2.46, 2 Mn 2.48-2.49
S 0.5238 0.4281 0.9899  2 Mn 2.45-2.48, 1 Ti 2.48
S 0.8205 0.1313 0.4607  1 Ti 2.46, 2 Mn 2.48-2.49
S 0.9899 0.5238 0.4281  2 Mn 2.45-2.48, 1 Ti 2.48


A relaxed Ac2TiMnS6 crystal. Source: Alexandria via LeMat-Bulk, functional PBE-GGA.

Output
space group = P2_1/c
DFT total energy = -0.243 Ha/atom
magnetic moment = 4.999 μB/f.u.

a b c (Å): 6.5932 7.1701 11.5679
angles (deg): 90.00 124.61 90.00
Last column: nearest neighbours and their distance in Å.
Fractional positions:
Ac 0.2216 0.0881 0.2495  8 S 2.97-3.24
Ac 0.2216 0.4119 0.7495  8 S 2.97-3.24
Ac 0.7784 0.5881 0.2505  8 S 2.97-3.24
Ac 0.7784 0.9119 0.7505  8 S 2.97-3.24
Ti 0.5000 0.0000 0.0000  6 S 2.42-2.51
Ti 0.5000 0.5000 0.5000  6 S 2.42-2.51
Mn 0.0000 0.0000 0.5000  6 S 2.48-2.61
Mn 0.0000 0.5000 0.0000  6 S 2.48-2.61
S 0.1516 0.1884 0.9561  1 Ti 2.46, 1 Mn 2.61
S 0.1516 0.3116 0.4561  1 Ti 2.46, 1 Mn 2.61
S 0.2701 0.7004 0.9560  1 Ti 2.51, 1 Mn 2.55
S 0.2701 0.7996 0.4560  1 Ti 2.51, 1 Mn 2.55
S 0.3395 0.0111 0.7526  1 Ti 2.42, 1 Mn 2.48
S 0.3395 0.4889 0.2526  1 Ti 2.42, 1 Mn 2.48
S 0.6605 0.5111 0.7474  1 Ti 2.42, 1 Mn 2.48
S 0.6605 0.9889 0.2474  1 Ti 2.42, 1 Mn 2.48
S 0.7299 0.2004 0.5440  1 Ti 2.51, 1 Mn 2.55
S 0.7299 0.2996 0.0440  1 Ti 2.51, 1 Mn 2.55
S 0.8484 0.6884 0.5439  1 Ti 2.46, 1 Mn 2.61
S 0.8484 0.8116 0.0439  1 Ti 2.46, 1 Mn 2.61


A relaxed AcMnTl2S4 crystal. Source: Alexandria via LeMat-Bulk, functional PBE-GGA.

Output
space group = P1
DFT total energy = -0.192 Ha/atom
magnetic moment = 4.000 μB/f.u.

a b c (Å): 7.8543 8.0404 8.2027
angles (deg): 107.95 112.41 96.13
Last column: nearest neighbours and their distance in Å.
Fractional positions:
Ac 0.0000 0.0000 0.0000  7 S 2.94-3.22
Ac 0.4658 0.0715 0.5736  6 S 2.92-3.13
Mn 0.0138 0.1377 0.6296  5 S 2.37-2.41
Mn 0.9386 0.5024 0.9455  5 S 2.32-2.56
Tl 0.4795 0.5458 0.5113  2 S 2.84-3.18
Tl 0.5203 0.1438 0.1383  2 S 2.72-2.98
Tl 0.5334 0.6126 0.1417  4 S 2.89-3.14
Tl 0.9905 0.5718 0.4293  5 S 3.13-3.40
S 0.1380 0.2177 0.4297  1 Mn 2.41
S 0.1609 0.3333 0.9549  2 Mn 2.32-2.37
S 0.1987 0.7601 0.1826  1 Mn 2.41
S 0.2229 0.9574 0.7370  1 Mn 2.40
S 0.7138 0.6782 0.9107  1 Mn 2.37
S 0.7416 0.2583 0.9872  1 Mn 2.56, 1 Tl 2.72
S 0.7669 0.8899 0.5641  1 Mn 2.40
S 0.8081 0.3396 0.6055  2 Mn 2.41